1.
First-principles (SCAN) data for Ho2Al9Pd3 at its PBEsol-relaxed geometry, as listed in Alexandria via LeMat-Bulk.

Cell lengths 13.0892, 7.6255, 9.3362 Å; angles 90.00, 90.00, 90.00 degrees
Space group Cmcm (No. 63)
Inequivalent atoms, fractional coordinates:
Ho1 0.1613 0.1684 0.2500
Al1 0.0000 0.1282 0.7500
Al2 0.0000 0.3323 0.0568
Al3 0.1049 0.4435 0.7500
Al4 0.1678 0.1671 0.5765
Pd1 0.0000 0.0000 0.0000
Pd2 0.1719 0.5000 0.0000

Results
- Formation energy from the elements: -0.8019 eV per atom
- Crystal system: orthorhombic
- Final energy: -19.81 eV per atom

2.
First-principles (SCAN) data for HoAlPd at its PBEsol-relaxed geometry, as listed in Alexandria via LeMat-Bulk.

Cell lengths 6.8032, 4.3705, 7.6758 Å; angles 90.00, 90.00, 90.00 degrees
Space group Pnma (No. 62)
Inequivalent atoms, fractional coordinates:
Ho1 0.0320 0.2500 0.1799
Al1 0.1440 0.2500 0.5629
Pd1 0.2302 0.7500 0.3828

Results
- Formation energy from the elements: -1.0257 eV per atom
- Crystal system: orthorhombic
- Final energy: -30.86 eV per atom

3.
First-principles (SCAN) data for PmHoAl2 at its PBEsol-relaxed geometry, as listed in Alexandria via LeMat-Bulk.

Cell lengths 7.1829, 7.1829, 7.1829 Å; angles 90.00, 90.00, 90.00 degrees
Space group Fm-3m (No. 225)
Inequivalent atoms, fractional coordinates:
Pm1 0.0000 0.0000 0.0000
Ho1 0.0000 0.0000 0.5000
Al1 0.2500 0.2500 0.2500

Results
- Formation energy from the elements: -0.4019 eV per atom
- Crystal system: cubic
- Final energy: -27.52 eV per atom

4.
First-principles (SCAN) data for PrHoAl4 at its PBEsol-relaxed geometry, as listed in Alexandria via LeMat-Bulk.

Cell lengths 7.8906, 7.8906, 7.8906 Å; angles 90.00, 90.00, 90.00 degrees
Space group F-43m (No. 216)
Inequivalent atoms, fractional coordinates:
Pr1 0.0000 0.0000 0.0000
Ho1 0.2500 0.2500 0.7500
Al1 0.1248 0.1248 0.3752

Results
- Formation energy from the elements: -0.5186 eV per atom
- Crystal system: cubic
- Final energy: -21.07 eV per atom